# 1
# Ca2PaInN4

A relaxed Ca2PaInN4 crystal (PBE, the Alexandria database).

Unit cell a=3.523 b=5.851 c=6.090 alpha=109.54 beta=90.00 gamma=90.00
Element x y z (fractional)
Ca (0.500, 0.000, 0.500)
Ca (0.000, 0.500, 0.500)
Pa (0.500, 0.500, 0.000)
In (0.000, 0.000, 0.000)
N (0.500, 0.252, 0.225)
N (0.500, 0.748, 0.775)
N (0.000, 0.278, 0.774)
N (0.000, 0.722, 0.226)

Output
Uncorrected energy ... -7.210 eV per atom
Energy relative to the elements, uncorrected ... -1.018 eV/atom
Total magnetization ... 0.00 μB per formula unit
Crystal system ... monoclinic


# 2
# La2TlO4F

A relaxed La2TlO4F crystal (PBE, the Alexandria database).

Unit cell a=3.558 b=5.707 c=7.100 alpha=63.47 beta=75.49 gamma=71.84
Element x y z (fractional)
La (0.813, 0.674, 0.700)
La (0.187, 0.326, 0.300)
Tl (0.000, 0.000, 0.000)
O (0.173, 0.979, 0.676)
O (0.371, 0.322, 0.936)
O (0.827, 0.021, 0.324)
O (0.629, 0.678, 0.064)
F (0.500, 0.500, 0.500)

Output
Uncorrected energy ... -6.881 eV per atom
Energy relative to the elements, uncorrected ... -2.641 eV/atom
Total magnetization ... 0.00 μB per formula unit
Crystal system ... monoclinic


# 3
# LiPmAlCd

A relaxed LiPmAlCd crystal (PBE, the Alexandria database).

Unit cell a=4.930 b=4.930 c=4.930 alpha=60.00 beta=60.00 gamma=60.00
Element x y z (fractional)
Cd (0.750, 0.750, 0.750)
Li (0.000, 0.000, 0.000)
Al (0.500, 0.500, 0.500)
Pm (0.250, 0.250, 0.250)

Output
Uncorrected energy ... -3.101 eV per atom
Formation enthalpy at 0 K ... -271 meV/atom
Total magnetization ... 0.00 μB per formula unit
Crystal system ... cubic